Record 1
Here is a relaxed ZnPbW crystal from the Alexandria database. Energies are from PBE.

Cell: 4.608 4.608 4.608 Å, 60.00 60.00 60.00°
Sites, in units of the cell vectors:
Pb1 0.500 0.500 0.500
Zn1 0.000 0.000 0.000
W1 0.750 0.750 0.750

Energy relative to the elements, eV per atom: 1.139
D(E_F), states/eV/cell: 1.07

Record 2
Here is a relaxed MnCo2Ru crystal from the Alexandria database. Energies are from PBE.

Cell: 8.363 8.363 8.363 Å, 17.64 17.64 17.64°
Sites, in units of the cell vectors:
Mn1 0.250 0.250 0.250
Ru1 0.750 0.750 0.750
Co1 0.503 0.503 0.503
Co2 0.997 0.997 0.997

Energy relative to the elements, eV per atom: 0.213
D(E_F), states/eV/cell: 6.62

Record 3
Here is a relaxed Ba3AcCe2Te6 crystal from the Alexandria database. Energies are from PBE.

Cell: 8.207 8.207 8.416 Å, 99.36 99.36 119.96°
Sites, in units of the cell vectors:
Te1 0.923 0.582 0.770
Ce1 0.333 0.667 0.000
Te2 0.735 0.735 0.228
Te3 0.265 0.265 0.772
Te4 0.077 0.418 0.230
Ce2 0.667 0.333 0.000
Te5 0.418 0.077 0.230
Ba1 0.836 0.164 0.500
Ac1 0.000 0.000 0.000
Ba2 0.164 0.836 0.500
Te6 0.582 0.923 0.770
Ba3 0.500 0.500 0.500

D(E_F), states/eV/cell: 18.85
E_form (uncorrected), kJ/mol of atoms: -150

Record 4
Here is a relaxed K4Ho3ScTe8 crystal from the Alexandria database. Energies are from PBE.

Cell: 8.878 9.696 8.879 Å, 117.27 120.00 90.00°
Sites, in units of the cell vectors:
Te1 0.264 0.291 0.527
Ho1 0.000 0.500 0.500
Ho2 0.500 0.500 0.000
Te2 0.256 0.296 0.026
Te3 0.744 0.704 0.974
Sc1 0.000 0.500 0.000
K1 0.500 0.000 0.500
K2 0.000 0.000 0.000
K3 0.500 0.000 0.000
Te4 0.770 0.296 0.026
Te5 0.736 0.709 0.473
K4 0.000 0.000 0.500
Te6 0.230 0.704 0.460
Te7 0.770 0.296 0.540
Ho3 0.500 0.500 0.500
Te8 0.230 0.704 0.974

E_form (uncorrected), kJ/mol of atoms: -130

Record 5
Here is a relaxed Zn6CO6 crystal from the Alexandria database. Energies are from PBE.

Cell: 5.672 5.672 5.672 Å, 90.00 90.00 90.00°
Sites, in units of the cell vectors:
Zn1 0.000 0.752 0.500
Zn2 0.500 0.000 0.752
C1 0.000 0.000 0.000
O1 0.253 0.000 0.500
O2 0.000 0.500 0.747
O3 0.000 0.500 0.253
Zn3 0.000 0.248 0.500
Zn4 0.248 0.500 0.000
O4 0.500 0.253 0.000
Zn5 0.500 0.000 0.248
O5 0.500 0.747 0.000
Zn6 0.752 0.500 0.000
O6 0.747 0.000 0.500

D(E_F), states/eV/cell: 6.50
E_form (uncorrected), kJ/mol of atoms: -67

Record 6
Here is a relaxed NaSiHg2S4 crystal from the Alexandria database. Energies are from PBE.

Cell: 6.256 6.256 6.934 Å, 116.79 116.79 90.06°
Sites, in units of the cell vectors:
S1 0.813 0.407 0.220
S2 0.407 0.813 0.220
Hg1 0.750 0.250 0.500
Hg2 0.250 0.750 0.500
S3 0.186 0.186 0.780
Si1 0.500 0.500 0.000
S4 0.593 0.593 0.780
Na1 0.000 0.000 0.000

D(E_F), states/eV/cell: 2.98
E_form (uncorrected), kJ/mol of atoms: -44

Record 7
Here is a relaxed HfCuOs3 crystal from the Alexandria database. Energies are from PBE.

Cell: 4.794 4.794 4.794 Å, 90.00 90.00 90.00°
Sites, in units of the cell vectors:
Os1 0.000 0.000 0.500
Cu1 0.500 0.500 0.500
Os2 0.500 0.000 0.000
Os3 0.000 0.500 0.000
Hf1 0.000 0.000 0.000

Energy relative to the elements, eV per atom: 2.528
D(E_F), states/eV/cell: 7.32

Record 8
Here is a relaxed Sm5Se2S2 crystal from the Alexandria database. Energies are from PBE.

Cell: 7.712 8.203 8.203 Å, 124.27 90.00 90.00°
Sites, in units of the cell vectors:
Sm1 0.149 0.198 0.481
S1 0.000 0.194 0.806
Sm2 0.000 0.000 0.000
Se1 0.853 0.353 0.353
S2 0.500 0.306 0.694
Se2 0.353 0.147 0.147
Sm3 0.851 0.802 0.519
Sm4 0.351 0.698 0.981
Se3 0.647 0.853 0.853
Sm5 0.500 0.500 0.500
Sm6 0.649 0.019 0.302
Sm7 0.149 0.481 0.198
Sm8 0.351 0.981 0.698
S3 0.500 0.694 0.306
Sm9 0.649 0.302 0.019
Sm10 0.851 0.519 0.802
S4 0.000 0.806 0.194
Se4 0.147 0.647 0.647

D(E_F), states/eV/cell: 10.00
E_form (uncorrected), kJ/mol of atoms: -142

Record 9
Here is a relaxed Ho2TiAl crystal from the Alexandria database. Energies are from PBE.

Cell: 4.416 4.551 4.551 Å, 90.00 90.00 90.00°
Sites, in units of the cell vectors:
Ti1 0.500 0.000 0.000
Ho1 0.000 0.500 0.000
Al1 0.500 0.500 0.500
Ho2 0.000 0.000 0.500

Energy relative to the elements, eV per atom: -0.079
D(E_F), states/eV/cell: 3.94

Record 10
Here is a relaxed Y2GaRu crystal from the Alexandria database. Energies are from PBE.

Cell: 3.497 3.497 7.060 Å, 90.00 90.00 90.00°
Sites, in units of the cell vectors:
Ga1 0.500 0.500 0.500
Ru1 0.500 0.500 0.000
Y1 0.000 0.000 0.766
Y2 0.000 0.000 0.234

Energy relative to the elements, eV per atom: -0.501
D(E_F), states/eV/cell: 1.27

Record 11
Here is a relaxed La2Pr3Rh3 crystal from the Alexandria database. Energies are from PBE.

Cell: 5.732 7.114 14.044 Å, 90.16 90.00 113.75°
Sites, in units of the cell vectors:
Pr1 0.053 0.105 0.380
Rh1 0.843 0.687 0.061
Rh2 0.220 0.440 0.251
La1 0.946 0.892 0.621
Pr2 0.743 0.486 0.252
Rh3 0.845 0.691 0.442
La2 0.334 0.668 0.434
Rh4 0.148 0.295 0.561
Pr3 0.054 0.108 0.119
Pr4 0.944 0.887 0.883
Rh5 0.783 0.566 0.746
La3 0.336 0.672 0.068
La4 0.662 0.324 0.931
Pr5 0.254 0.507 0.750
Pr6 0.663 0.325 0.564
Rh6 0.153 0.307 0.940

Energy relative to the elements, eV per atom: -0.480
D(E_F), states/eV/cell: 11.61

Record 12
Here is a relaxed K2ScW crystal from the Alexandria database. Energies are from PBE.

Cell: 7.584 7.584 7.584 Å, 157.70 126.36 58.80°
Sites, in units of the cell vectors:
Sc1 0.557 0.557 0.000
K1 0.966 0.966 0.000
K2 0.256 0.756 0.500
W1 0.721 0.221 0.500

Energy relative to the elements, eV per atom: 1.182
D(E_F), states/eV/cell: 2.88

Record 13
Here is a relaxed Tb3Y4Tm crystal from the Alexandria database. Energies are from PBE.

Cell: 6.295 7.285 11.268 Å, 90.00 90.00 90.00°
Sites, in units of the cell vectors:
Y1 0.983 0.126 0.249
Y2 0.646 0.126 0.000
Y3 0.983 0.126 0.751
Y4 0.146 0.874 0.500
Tb1 0.649 0.624 0.000
Tb2 0.479 0.377 0.750
Y5 0.483 0.874 0.749
Tb3 0.149 0.376 0.500
Tb4 0.979 0.623 0.750
Y6 0.147 0.873 0.000
Tm1 0.649 0.624 0.500
Y7 0.647 0.127 0.500
Tb5 0.979 0.623 0.250
Tb6 0.479 0.377 0.250
Y8 0.483 0.874 0.251
Tm2 0.149 0.376 0.000

Energy relative to the elements, eV per atom: 0.003
D(E_F), states/eV/cell: 27.84

Record 14
Here is a relaxed LiNdGePd crystal from the Alexandria database. Energies are from PBE.

Cell: 4.722 4.722 4.722 Å, 60.00 60.00 60.00°
Sites, in units of the cell vectors:
Ge1 0.250 0.250 0.250
Pd1 0.000 0.000 0.000
Li1 0.500 0.500 0.500
Nd1 0.750 0.750 0.750

Energy relative to the elements, eV per atom: -0.672

Record 15
Here is a relaxed Cs2HfTe4Pd crystal from the Alexandria database. Energies are from PBE.

Cell: 6.599 7.980 14.725 Å, 84.68 77.05 65.58°
Sites, in units of the cell vectors:
Te1 0.456 0.690 0.386
Te2 0.854 0.690 0.614
Te3 0.158 0.310 0.386
Hf1 0.000 0.000 0.000
Pd1 0.250 0.500 0.500
Te4 0.218 0.190 0.886
Te5 0.294 0.810 0.114
Cs1 0.180 0.000 0.641
Cs2 0.820 0.000 0.359
Cs3 0.570 0.500 0.859
Pd2 0.500 0.000 0.000
Cs4 0.930 0.500 0.141
Te6 0.592 0.190 0.114
Te7 0.896 0.810 0.886
Hf2 0.750 0.500 0.500
Te8 0.532 0.310 0.614

D(E_F), states/eV/cell: 15.37
E_form (uncorrected), kJ/mol of atoms: -73

Record 16
Here is a relaxed Sr3GePt crystal from the Alexandria database. Energies are from PBE.

Cell: 5.756 5.756 5.756 Å, 90.00 90.00 90.00°
Sites, in units of the cell vectors:
Sr1 0.000 0.000 0.500
Sr2 0.000 0.500 0.000
Sr3 0.500 0.000 0.000
Pt1 0.000 0.000 0.000
Ge1 0.500 0.500 0.500

Energy relative to the elements, eV per atom: -0.350
D(E_F), states/eV/cell: 4.18